1.
# Tb3Pm3Ho | the Alexandria database | PBE-GGA | optimized geometry
data_Tb3Pm3Ho
_cell_length_a 6.235
_cell_length_b 6.235
_cell_length_c 14.816
_cell_angle_alpha 77.85
_cell_angle_beta 77.85
_cell_angle_gamma 60.00
_symmetry_space_group_name_H-M 'P 1'
_symmetry_Int_Tables_number 1
_symmetry_space_group_name_Hall 'P 1'
loop_
_atom_site_label
_atom_site_fract_x
_atom_site_fract_y
_atom_site_fract_z
Tb1 0.065 0.731 0.806
Tb2 0.935 0.269 0.194
Tb3 0.398 0.065 0.806
Tb4 0.731 0.398 0.806
Tb5 0.269 0.602 0.194
Tb6 0.602 0.935 0.194
Pm1 0.131 0.463 0.606
Pm2 0.869 0.537 0.394
Pm3 0.200 0.869 0.394
Pm4 0.463 0.800 0.606
Pm5 0.537 0.200 0.394
Pm6 0.800 0.131 0.606
Ho1 0.667 0.667 0.000
Ho2 0.333 0.333 0.000
# ΔE_f	1.1	eV/f.u.
# DOS(E_F)	21.3	states/eV per cell
# total magnetic moment	0.00	μB/f.u.
# calculated volume	34.56	A^3/atom

***

2.
# TbPm4Ho | the Alexandria database | PBE-GGA | optimized geometry
data_TbPm4Ho
_cell_length_a 6.321
_cell_length_b 6.321
_cell_length_c 6.008
_cell_angle_alpha 89.93
_cell_angle_beta 89.93
_cell_angle_gamma 56.67
_symmetry_space_group_name_H-M 'P 1'
_symmetry_Int_Tables_number 1
_symmetry_space_group_name_Hall 'P 1'
loop_
_atom_site_label
_atom_site_fract_x
_atom_site_fract_y
_atom_site_fract_z
Pm1 0.338 0.338 0.986
Pm2 0.162 0.162 0.485
Pm3 0.662 0.662 0.014
Pm4 0.838 0.838 0.515
Ho1 0.000 0.000 0.000
Tb1 0.500 0.500 0.500
# ΔE_f	0.7	eV/f.u.
# DOS(E_F)	11.7	states/eV per cell
# total magnetic moment	0.00	μB/f.u.
# calculated volume	33.42	A^3/atom

***

3.
# Tb3Pm2Ho8 | the Alexandria database | PBE-GGA | optimized geometry
data_Tb3Pm2Ho8
_cell_length_a 5.548
_cell_length_b 7.608
_cell_length_c 10.960
_cell_angle_alpha 110.31
_cell_angle_beta 90.01
_cell_angle_gamma 90.00
_symmetry_space_group_name_H-M 'P 1'
_symmetry_Int_Tables_number 1
_symmetry_space_group_name_Hall 'P 1'
loop_
_atom_site_label
_atom_site_fract_x
_atom_site_fract_y
_atom_site_fract_z
Ho1 0.000 0.663 0.326
Ho2 0.000 0.870 0.740
Ho3 0.500 0.395 0.215
Ho4 0.000 0.130 0.260
Ho5 0.500 0.180 0.785
Ho6 0.500 0.820 0.215
Ho7 0.000 0.337 0.674
Ho8 0.500 0.605 0.785
Pm1 0.500 0.759 0.518
Pm2 0.500 0.241 0.482
Tb1 0.000 0.712 0.000
Tb2 0.000 0.288 0.000
Tb3 0.500 0.000 0.000
# ΔE_f	3.2	eV/f.u.
# DOS(E_F)	22.6	states/eV per cell
# total magnetic moment	0.00	μB/f.u.
# calculated volume	33.38	A^3/atom

***

4.
# Tb5Pm4Ho | the Alexandria database | PBE-GGA | optimized geometry
data_Tb5Pm4Ho
_cell_length_a 5.994
_cell_length_b 8.101
_cell_length_c 8.101
_cell_angle_alpha 82.13
_cell_angle_beta 68.29
_cell_angle_gamma 68.29
_symmetry_space_group_name_H-M 'P 1'
_symmetry_Int_Tables_number 1
_symmetry_space_group_name_Hall 'P 1'
loop_
_atom_site_label
_atom_site_fract_x
_atom_site_fract_y
_atom_site_fract_z
Pm1 0.125 0.323 0.324
Pm2 0.448 0.676 0.323
Pm3 0.448 0.324 0.677
Pm4 0.772 0.677 0.676
Tb1 0.142 0.000 0.623
Tb2 0.142 0.623 0.000
Tb3 0.765 0.000 0.377
Tb4 0.765 0.377 0.000
Tb5 0.689 0.000 0.000
Ho1 0.216 0.000 0.000
# ΔE_f	2.4	eV/f.u.
# DOS(E_F)	13.6	states/eV per cell
# total magnetic moment	0.00	μB/f.u.
# calculated volume	33.95	A^3/atom

***

5.
# Tb7Pm3Ho | the Alexandria database | PBE-GGA | optimized geometry
data_Tb7Pm3Ho
_cell_length_a 8.916
_cell_length_b 10.089
_cell_length_c 5.558
_cell_angle_alpha 90.01
_cell_angle_beta 128.54
_cell_angle_gamma 106.19
_symmetry_space_group_name_H-M 'P 1'
_symmetry_Int_Tables_number 1
_symmetry_space_group_name_Hall 'P 1'
loop_
_atom_site_label
_atom_site_fract_x
_atom_site_fract_y
_atom_site_fract_z
Tb1 0.643 0.289 0.143
Tb2 0.909 0.829 0.909
Tb3 0.500 0.000 0.500
Tb4 0.185 0.363 0.685
Tb5 0.815 0.637 0.315
Tb6 0.357 0.711 0.857
Tb7 0.091 0.171 0.091
Pm1 0.000 0.500 0.000
Pm2 0.217 0.998 0.717
Pm3 0.783 0.002 0.283
Ho1 0.500 0.500 0.500
# ΔE_f	1.5	eV/f.u.
# DOS(E_F)	16.2	states/eV per cell
# total magnetic moment	0.00	μB/f.u.
# calculated volume	33.22	A^3/atom

***

6.
# TbPm2Ho4 | the Alexandria database | PBE-GGA | optimized geometry
data_TbPm2Ho4
_cell_length_a 3.538
_cell_length_b 8.761
_cell_length_c 8.589
_cell_angle_alpha 119.25
_cell_angle_beta 101.87
_cell_angle_gamma 90.03
_symmetry_space_group_name_H-M 'P 1'
_symmetry_Int_Tables_number 1
_symmetry_space_group_name_Hall 'P 1'
loop_
_atom_site_label
_atom_site_fract_x
_atom_site_fract_y
_atom_site_fract_z
Pm1 0.069 0.430 0.139
Pm2 0.931 0.570 0.861
Ho1 0.355 0.156 0.709
Ho2 0.704 0.293 0.410
Ho3 0.296 0.707 0.590
Ho4 0.645 0.844 0.291
Tb1 0.000 0.000 0.000
# ΔE_f	0.3	eV/f.u.
# DOS(E_F)	10.8	states/eV per cell
# total magnetic moment	0.00	μB/f.u.
# calculated volume	32.24	A^3/atom

***

7.
# Tb6Pm2Ho5 | the Alexandria database | PBE-GGA | optimized geometry
data_Tb6Pm2Ho5
_cell_length_a 3.588
_cell_length_b 11.683
_cell_length_c 20.195
_cell_angle_alpha 90.00
_cell_angle_beta 90.00
_cell_angle_gamma 90.00
_symmetry_space_group_name_H-M 'P 1'
_symmetry_Int_Tables_number 1
_symmetry_space_group_name_Hall 'P 1'
loop_
_atom_site_label
_atom_site_fract_x
_atom_site_fract_y
_atom_site_fract_z
Ho1 0.500 0.199 0.948
Ho2 0.500 0.500 0.000
Ho3 0.500 0.407 0.723
Ho4 0.500 0.907 0.777
Ho5 0.500 0.301 0.448
Ho6 0.500 0.801 0.052
Ho7 0.500 0.593 0.277
Ho8 0.500 0.699 0.552
Ho9 0.500 0.000 0.500
Ho10 0.500 0.093 0.223
Tb1 0.000 0.441 0.578
Tb2 0.500 0.676 0.871
Tb3 0.000 0.080 0.366
Tb4 0.500 0.824 0.371
Tb5 0.000 0.941 0.922
Tb6 0.000 0.059 0.078
Tb7 0.000 0.580 0.134
Tb8 0.000 0.420 0.866
Tb9 0.500 0.176 0.629
Tb10 0.000 0.559 0.422
Tb11 0.500 0.324 0.129
Tb12 0.000 0.920 0.634
Pm1 0.000 0.833 0.215
Pm2 0.000 0.333 0.285
Pm3 0.000 0.167 0.785
Pm4 0.000 0.667 0.715
# ΔE_f	1.3	eV/f.u.
# DOS(E_F)	30.9	states/eV per cell
# total magnetic moment	0.00	μB/f.u.
# calculated volume	32.56	A^3/atom

***

8.
# TbPm3Ho2 | the Alexandria database | PBE-GGA | optimized geometry
data_TbPm3Ho2
_cell_length_a 7.237
_cell_length_b 10.284
_cell_length_c 7.245
_cell_angle_alpha 80.01
_cell_angle_beta 119.93
_cell_angle_gamma 121.72
_symmetry_space_group_name_H-M 'P 1'
_symmetry_Int_Tables_number 1
_symmetry_space_group_name_Hall 'P 1'
loop_
_atom_site_label
_atom_site_fract_x
_atom_site_fract_y
_atom_site_fract_z
Tb1 0.253 0.002 0.251
Tb2 0.747 0.998 0.749
Pm1 0.806 0.666 0.861
Pm2 0.194 0.334 0.139
Pm3 0.254 0.003 0.751
Pm4 0.805 0.665 0.361
Pm5 0.195 0.335 0.639
Pm6 0.746 0.997 0.249
Ho1 0.696 0.332 0.639
Ho2 0.304 0.668 0.361
Ho3 0.303 0.666 0.860
Ho4 0.697 0.334 0.140
# ΔE_f	0.0	eV/f.u.
# DOS(E_F)	14.8	states/eV per cell
# total magnetic moment	0.00	μB/f.u.
# calculated volume	32.88	A^3/atom

***

9.
# Tb2Pm3Ho5 | the Alexandria database | PBE-GGA | optimized geometry
data_Tb2Pm3Ho5
_cell_length_a 6.382
_cell_length_b 10.950
_cell_length_c 10.950
_cell_angle_alpha 102.46
_cell_angle_beta 73.06
_cell_angle_gamma 73.06
_symmetry_space_group_name_H-M 'P 1'
_symmetry_Int_Tables_number 1
_symmetry_space_group_name_Hall 'P 1'
loop_
_atom_site_label
_atom_site_fract_x
_atom_site_fract_y
_atom_site_fract_z
Ho1 0.759 0.073 0.410
Ho2 0.741 0.590 0.927
Ho3 0.998 0.252 0.252
Ho4 0.250 0.500 0.500
Ho5 0.002 0.748 0.748
Ho6 0.498 0.252 0.252
Ho7 0.241 0.927 0.590
Ho8 0.502 0.748 0.748
Ho9 0.259 0.410 0.073
Ho10 0.750 0.500 0.500
Pm1 0.412 0.421 0.755
Pm2 0.750 0.000 0.000
Pm3 0.250 0.000 0.000
Pm4 0.912 0.755 0.421
Pm5 0.088 0.245 0.579
Pm6 0.588 0.579 0.245
Tb1 0.407 0.925 0.261
Tb2 0.093 0.739 0.075
Tb3 0.593 0.075 0.739
Tb4 0.907 0.261 0.925
# ΔE_f	3.0	eV/f.u.
# DOS(E_F)	27.5	states/eV per cell
# total magnetic moment	0.00	μB/f.u.
# calculated volume	33.06	A^3/atom

***

10.
# TbPm7Ho2 | the Alexandria database | PBE-GGA | optimized geometry
data_TbPm7Ho2
_cell_length_a 5.622
_cell_length_b 9.360
_cell_length_c 9.360
_cell_angle_alpha 123.79
_cell_angle_beta 90.00
_cell_angle_gamma 90.00
_symmetry_space_group_name_H-M 'P 1'
_symmetry_Int_Tables_number 1
_symmetry_space_group_name_Hall 'P 1'
loop_
_atom_site_label
_atom_site_fract_x
_atom_site_fract_y
_atom_site_fract_z
Ho1 0.500 0.705 0.295
Ho2 0.500 0.295 0.705
Tb1 0.000 0.000 0.000
Pm1 0.500 0.708 0.935
Pm2 0.000 0.784 0.216
Pm3 0.000 0.216 0.784
Pm4 0.500 0.500 0.500
Pm5 0.500 0.065 0.292
Pm6 0.500 0.935 0.708
Pm7 0.500 0.292 0.065
# ΔE_f	6.5	eV/f.u.
# DOS(E_F)	15.1	states/eV per cell
# total magnetic moment	0.00	μB/f.u.
# calculated volume	40.93	A^3/atom

***

11.
# Tb5PmHo3 | the Alexandria database | PBE-GGA | optimized geometry
data_Tb5PmHo3
_cell_length_a 9.311
_cell_length_b 9.311
_cell_length_c 12.783
_cell_angle_alpha 51.53
_cell_angle_beta 51.53
_cell_angle_gamma 50.94
_symmetry_space_group_name_H-M 'P 1'
_symmetry_Int_Tables_number 1
_symmetry_space_group_name_Hall 'P 1'
loop_
_atom_site_label
_atom_site_fract_x
_atom_site_fract_y
_atom_site_fract_z
Pm1 0.106 0.106 0.130
Pm2 0.894 0.894 0.870
Tb1 0.080 0.490 0.779
Tb2 0.920 0.510 0.221
Tb3 0.442 0.442 0.431
Tb4 0.510 0.920 0.221
Tb5 0.369 0.369 0.932
Tb6 0.631 0.631 0.068
Tb7 0.558 0.558 0.569
Tb8 0.490 0.080 0.779
Tb9 0.680 0.320 0.000
Tb10 0.320 0.680 0.000
Ho1 0.167 0.167 0.660
Ho2 0.000 0.000 0.000
Ho3 0.000 0.000 0.500
Ho4 0.833 0.833 0.340
Ho5 0.303 0.303 0.315
Ho6 0.697 0.697 0.685
# ΔE_f	3.8	eV/f.u.
# DOS(E_F)	26.6	states/eV per cell
# total magnetic moment	0.00	μB/f.u.
# calculated volume	34.65	A^3/atom

***

12.
# TbPm5Ho2 | the Alexandria database | PBE-GGA | optimized geometry
data_TbPm5Ho2
_cell_length_a 9.706
_cell_length_b 9.706
_cell_length_c 13.336
_cell_angle_alpha 45.31
_cell_angle_beta 45.31
_cell_angle_gamma 76.92
_symmetry_space_group_name_H-M 'P 1'
_symmetry_Int_Tables_number 1
_symmetry_space_group_name_Hall 'P 1'
loop_
_atom_site_label
_atom_site_fract_x
_atom_site_fract_y
_atom_site_fract_z
Pm1 0.534 0.012 0.239
Pm2 0.466 0.988 0.761
Pm3 0.510 0.490 0.750
Pm4 0.997 0.020 0.869
Pm5 0.003 0.980 0.131
Pm6 0.988 0.466 0.261
Pm7 0.012 0.534 0.739
Pm8 0.980 0.003 0.631
Pm9 0.020 0.997 0.369
Pm10 0.490 0.510 0.250
Tb1 0.761 0.239 0.250
Tb2 0.239 0.761 0.750
Ho1 0.500 0.500 0.000
Ho2 0.500 0.000 0.000
Ho3 0.500 0.500 0.500
Ho4 0.000 0.500 0.500
# ΔE_f	1.7	eV/f.u.
# DOS(E_F)	27.0	states/eV per cell
# total magnetic moment	0.00	μB/f.u.
# calculated volume	33.63	A^3/atom